(1)
Density functional theory data (PBE-GGA) for a relaxed V2Pd5Au crystal.

```
data_V2Pd5Au
_cell_length_a 3.944
_cell_length_b 5.560
_cell_length_c 11.123
_cell_angle_alpha 90.00
_cell_angle_beta 90.00
_cell_angle_gamma 90.00
_space_group_name_H-M_alt 'P 1'
_space_group_IT_number 1
loop_
_space_group_symop_operation_xyz
'x,y,z'
loop_
_atom_site_label
_atom_site_type_symbol
_atom_site_fract_x
_atom_site_fract_y
_atom_site_fract_z
Au1 Au 0.000 0.000 0.500
Au2 Au 0.000 0.500 0.000
Pd1 Pd 0.000 0.000 0.000
Pd2 Pd 0.000 0.006 0.751
Pd3 Pd 0.000 0.506 0.749
Pd4 Pd 0.000 0.500 0.500
Pd5 Pd 0.000 0.994 0.249
Pd6 Pd 0.500 0.247 0.374
Pd7 Pd 0.500 0.253 0.874
Pd8 Pd 0.500 0.753 0.626
Pd9 Pd 0.500 0.747 0.126
Pd10 Pd 0.000 0.494 0.251
V1 V 0.500 0.263 0.630
V2 V 0.500 0.763 0.870
V3 V 0.500 0.737 0.370
V4 V 0.500 0.237 0.130
```

## Properties
Calculated formation energy: -0.194 eV/atom
M_tot: 0.419 μB per atom
Uncorrected energy: -98.06 eV per cell
D(E_F): 18.4 states/eV/cell


(2)
Density functional theory data (PBE-GGA) for a relaxed RbLi2Sb2 crystal.

```
data_RbLi2Sb2
_cell_length_a 4.599
_cell_length_b 4.599
_cell_length_c 8.096
_cell_angle_alpha 89.99
_cell_angle_beta 89.99
_cell_angle_gamma 116.12
_space_group_name_H-M_alt 'P 1'
_space_group_IT_number 1
loop_
_space_group_symop_operation_xyz
'x,y,z'
loop_
_atom_site_label
_atom_site_type_symbol
_atom_site_fract_x
_atom_site_fract_y
_atom_site_fract_z
Sb1 Sb 0.500 0.500 0.674
Sb2 Sb 0.500 0.500 0.326
Li1 Li 0.168 0.832 0.500
Li2 Li 0.832 0.168 0.500
Rb1 Rb 0.000 0.000 0.000
```

## Properties
Formation energy (no corrections): -0.402 eV per atom
M_tot: 0.000 μB per atom
Uncorrected energy: -15.05 eV per cell
D(E_F): 1.9 states/eV/cell


(3)
Density functional theory data (PBE-GGA) for a relaxed PaCu2PbO6 crystal.

```
data_PaCu2PbO6
_cell_length_a 6.851
_cell_length_b 6.981
_cell_length_c 6.981
_cell_angle_alpha 67.87
_cell_angle_beta 71.29
_cell_angle_gamma 71.29
_space_group_name_H-M_alt 'P 1'
_space_group_IT_number 1
loop_
_space_group_symop_operation_xyz
'x,y,z'
loop_
_atom_site_label
_atom_site_type_symbol
_atom_site_fract_x
_atom_site_fract_y
_atom_site_fract_z
O1 O 0.840 0.939 0.242
O2 O 0.420 0.221 0.344
O3 O 0.920 0.344 0.221
O4 O 0.080 0.656 0.779
O5 O 0.660 0.758 0.061
O6 O 0.115 0.548 0.316
O7 O 0.580 0.779 0.656
O8 O 0.340 0.242 0.939
O9 O 0.885 0.452 0.684
O10 O 0.385 0.684 0.452
O11 O 0.615 0.316 0.548
O12 O 0.160 0.061 0.758
Pb1 Pb 0.750 0.109 0.891
Pb2 Pb 0.250 0.891 0.109
Cu1 Cu 0.213 0.347 0.171
Cu2 Cu 0.713 0.171 0.347
Cu3 Cu 0.287 0.829 0.653
Cu4 Cu 0.787 0.653 0.829
Pa1 Pa 0.750 0.622 0.378
Pa2 Pa 0.250 0.378 0.622
```

## Properties
Formation energy (no corrections): -1.613 eV per atom
M_tot: 0.027 μB per atom
Uncorrected energy: -134.54 eV per cell
D(E_F): 8.4 states/eV/cell


(4)
Density functional theory data (PBE-GGA) for a relaxed Sn3HgS6 crystal.

```
data_Sn3HgS6
_cell_length_a 3.747
_cell_length_b 12.905
_cell_length_c 11.711
_cell_angle_alpha 119.82
_cell_angle_beta 90.00
_cell_angle_gamma 90.00
_space_group_name_H-M_alt 'P 1'
_space_group_IT_number 1
loop_
_space_group_symop_operation_xyz
'x,y,z'
loop_
_atom_site_label
_atom_site_type_symbol
_atom_site_fract_x
_atom_site_fract_y
_atom_site_fract_z
Sn1 Sn 0.750 0.423 0.840
Sn2 Sn 0.250 0.859 0.875
Sn3 Sn 0.250 0.577 0.160
Sn4 Sn 0.250 0.245 0.516
Sn5 Sn 0.750 0.755 0.484
Sn6 Sn 0.750 0.141 0.125
S1 S 0.250 0.591 0.390
S2 S 0.250 0.916 0.563
S3 S 0.750 0.418 0.065
S4 S 0.250 0.255 0.293
S5 S 0.750 0.918 0.073
S6 S 0.250 0.582 0.935
S7 S 0.750 0.743 0.246
S8 S 0.750 0.084 0.437
S9 S 0.250 0.082 0.927
S10 S 0.250 0.257 0.754
S11 S 0.750 0.745 0.707
S12 S 0.750 0.409 0.610
Hg1 Hg 0.750 0.073 0.742
Hg2 Hg 0.250 0.927 0.258
```

## Properties
Formation energy (no corrections): -0.243 eV per atom
M_tot: 0.000 μB per atom
Uncorrected energy: -79.02 eV per cell
D(E_F): 5.7 states/eV/cell


(5)
Density functional theory data (PBE-GGA) for a relaxed In2CuAs crystal.

```
data_In2CuAs
_cell_length_a 4.700
_cell_length_b 4.700
_cell_length_c 3.852
_cell_angle_alpha 90.00
_cell_angle_beta 90.00
_cell_angle_gamma 98.22
_space_group_name_H-M_alt 'P 1'
_space_group_IT_number 1
loop_
_space_group_symop_operation_xyz
'x,y,z'
loop_
_atom_site_label
_atom_site_type_symbol
_atom_site_fract_x
_atom_site_fract_y
_atom_site_fract_z
Cu1 Cu 0.000 0.500 0.500
In1 In 0.500 0.500 0.000
In2 In 0.000 0.000 0.000
As1 As 0.500 0.000 0.500
```

## Properties
Calculated formation energy: 0.225 eV/atom
M_tot: 0.000 μB per atom
Uncorrected energy: -13.32 eV per cell
D(E_F): 2.2 states/eV/cell


(6)
Density functional theory data (PBE-GGA) for a relaxed KCdMo2 crystal.

```
data_KCdMo2
_cell_length_a 6.257
_cell_length_b 6.257
_cell_length_c 6.257
_cell_angle_alpha 150.68
_cell_angle_beta 125.01
_cell_angle_gamma 63.54
_space_group_name_H-M_alt 'P 1'
_space_group_IT_number 1
loop_
_space_group_symop_operation_xyz
'x,y,z'
loop_
_atom_site_label
_atom_site_type_symbol
_atom_site_fract_x
_atom_site_fract_y
_atom_site_fract_z
Cd1 Cd 0.531 0.531 0.000
K1 K 0.235 0.735 0.500
Mo1 Mo 0.787 0.287 0.500
Mo2 Mo 0.947 0.947 0.000
```

## Properties
Calculated formation energy: 0.956 eV/atom
M_tot: 0.000 μB per atom
Uncorrected energy: -19.85 eV per cell
D(E_F): 2.9 states/eV/cell


(7)
Density functional theory data (PBE-GGA) for a relaxed NdGd2Ga crystal.

```
data_NdGd2Ga
_cell_length_a 3.526
_cell_length_b 3.526
_cell_length_c 12.036
_cell_angle_alpha 81.58
_cell_angle_beta 81.58
_cell_angle_gamma 60.00
_space_group_name_H-M_alt 'P 1'
_space_group_IT_number 1
loop_
_space_group_symop_operation_xyz
'x,y,z'
loop_
_atom_site_label
_atom_site_type_symbol
_atom_site_fract_x
_atom_site_fract_y
_atom_site_fract_z
Gd1 Gd 0.085 0.085 0.745
Gd2 Gd 0.915 0.915 0.255
Ga1 Ga 0.000 0.000 0.000
Nd1 Nd 0.500 0.500 0.500
```

## Properties
Calculated formation energy: 0.157 eV/atom
M_tot: 3.723 μB per atom
Uncorrected energy: -35.33 eV per cell
D(E_F): 4.1 states/eV/cell


(8)
Density functional theory data (PBE-GGA) for a relaxed Cs2K2Zn crystal.

```
data_Cs2K2Zn
_cell_length_a 10.010
_cell_length_b 10.010
_cell_length_c 7.886
_cell_angle_alpha 90.00
_cell_angle_beta 90.00
_cell_angle_gamma 90.00
_space_group_name_H-M_alt 'P 1'
_space_group_IT_number 1
loop_
_space_group_symop_operation_xyz
'x,y,z'
loop_
_atom_site_label
_atom_site_type_symbol
_atom_site_fract_x
_atom_site_fract_y
_atom_site_fract_z
K1 K 0.170 0.670 0.500
K2 K 0.670 0.830 0.500
K3 K 0.830 0.330 0.500
K4 K 0.330 0.170 0.500
Cs1 Cs 0.163 0.337 0.000
Cs2 Cs 0.337 0.837 0.000
Cs3 Cs 0.663 0.163 0.000
Cs4 Cs 0.837 0.663 0.000
Zn1 Zn 0.500 0.500 0.000
Zn2 Zn 0.000 0.000 0.000
```

## Properties
Calculated formation energy: 0.179 eV/atom
M_tot: 0.000 μB per atom
Uncorrected energy: -8.56 eV per cell
D(E_F): 10.6 states/eV/cell


(9)
Density functional theory data (PBE-GGA) for a relaxed YFe3Te crystal.

```
data_YFe3Te
_cell_length_a 4.802
_cell_length_b 4.802
_cell_length_c 4.802
_cell_angle_alpha 90.00
_cell_angle_beta 90.00
_cell_angle_gamma 90.00
_space_group_name_H-M_alt 'P 1'
_space_group_IT_number 1
loop_
_space_group_symop_operation_xyz
'x,y,z'
loop_
_atom_site_label
_atom_site_type_symbol
_atom_site_fract_x
_atom_site_fract_y
_atom_site_fract_z
Fe1 Fe 0.000 0.500 0.000
Fe2 Fe 0.000 0.000 0.500
Fe3 Fe 0.500 0.000 0.000
Te1 Te 0.500 0.500 0.500
Y1 Y 0.000 0.000 0.000
```

## Properties
Formation energy (no corrections): 1.603 eV per atom
M_tot: 1.356 μB per atom
Uncorrected energy: -26.98 eV per cell
D(E_F): 6.9 states/eV/cell


(10)
Density functional theory data (PBE-GGA) for a relaxed KAs2Au crystal.

```
data_KAs2Au
_cell_length_a 3.799
_cell_length_b 3.796
_cell_length_c 6.911
_cell_angle_alpha 90.00
_cell_angle_beta 90.00
_cell_angle_gamma 90.00
_space_group_name_H-M_alt 'P 1'
_space_group_IT_number 1
loop_
_space_group_symop_operation_xyz
'x,y,z'
loop_
_atom_site_label
_atom_site_type_symbol
_atom_site_fract_x
_atom_site_fract_y
_atom_site_fract_z
K1 K 0.500 0.500 0.750
As1 As 0.000 0.000 0.081
As2 As 0.000 0.000 0.419
Au1 Au 0.500 0.500 0.250
```

## Properties
Calculated formation energy: -0.029 eV/atom
M_tot: 0.000 μB per atom
Uncorrected energy: -13.79 eV per cell
D(E_F): 1.3 states/eV/cell


(11)
Density functional theory data (PBE-GGA) for a relaxed LiLa2Al3Zn4 crystal.

```
data_LiLa2Al3Zn4
_cell_length_a 4.433
_cell_length_b 4.433
_cell_length_c 10.392
_cell_angle_alpha 90.00
_cell_angle_beta 90.00
_cell_angle_gamma 90.00
_space_group_name_H-M_alt 'P 1'
_space_group_IT_number 1
loop_
_space_group_symop_operation_xyz
'x,y,z'
loop_
_atom_site_label
_atom_site_type_symbol
_atom_site_fract_x
_atom_site_fract_y
_atom_site_fract_z
Al1 Al 0.000 0.500 0.133
Al2 Al 0.500 0.000 0.867
Al3 Al 0.000 0.000 0.500
Zn1 Zn 0.000 0.500 0.374
Zn2 Zn 0.000 0.000 0.000
Zn3 Zn 0.500 0.500 0.000
Zn4 Zn 0.500 0.000 0.626
Li1 Li 0.500 0.500 0.500
La1 La 0.000 0.500 0.757
La2 La 0.500 0.000 0.243
```

## Properties
Calculated formation energy: -0.367 eV/atom
M_tot: 0.000 μB per atom
Uncorrected energy: -31.76 eV per cell
D(E_F): 5.6 states/eV/cell